DFT (PBE) results for a geometry-optimized TbSmCd17 structure.

Summary:
- magnetic moment (μB per formula unit) = 0.00
- calculated formation energy (eV/atom) = -0.125
- total energy (eV/atom) = -1.44

Cell: 7.6649 7.6649 7.6649 Å, 82.05 82.05 82.05°
Atoms (fractional coordinates):
Tb: 0.3248 0.3248 0.3248
Sm: 0.6688 0.6688 0.6688
Cd: 0.3022 0.0016 0.6947
Cd: 0.6947 0.3022 0.0016
Cd: 0.0016 0.6947 0.3022
Cd: 0.3022 0.6947 0.0016
Cd: 0.0016 0.3022 0.6947
Cd: 0.6947 0.0016 0.3022
Cd: 0.3446 0.8745 0.3446
Cd: 0.3446 0.3446 0.8745
Cd: 0.8745 0.3446 0.3446
Cd: 0.6233 0.2086 0.6233
Cd: 0.6233 0.6233 0.2086
Cd: 0.2086 0.6233 0.6233
Cd: 0.9780 0.5246 0.9780
Cd: 0.9780 0.9780 0.5246
Cd: 0.5246 0.9780 0.9780
Cd: 0.9073 0.9073 0.9073
Cd: 0.1028 0.1028 0.1028